No. 1
Sr2AsCl | Alexandria via LeMat-Bulk | PBE | optimized geometry; energy relative to the elements, uncorrected = -146 kJ/mol of atoms
1.0
6.3071 0.0033 0.0038
4.9538 3.9037 0.0038
-0.0030 -0.0010 4.8383
Sr As Cl
2 1 1
Cartesian
8.5369 2.9620 3.0304
0.0754 0.0262 0.6053
5.4885 1.9043 3.0275
2.7860 0.9666 0.6056



No. 2
Cr2PRu | Alexandria via LeMat-Bulk | PBE | optimized geometry; formation energy from the elements = 0.055 eV per atom
1.0
-7.7401 -1.9772 1.1139
-6.5673 -4.1061 2.2515
-6.9368 -1.8593 3.6718
Ru Cr P
1 2 1
Cartesian
-15.9331 -5.9570 5.2779
-10.7289 -4.0113 3.5540
-21.1373 -7.9027 7.0018
-5.3110 -1.9857 1.7593



No. 3
GdDyCdOs | Alexandria via LeMat-Bulk | PBE | optimized geometry; formation energy from the elements = -0.186 eV per atom
1.0
-1.9289 3.4034 -3.1749
0.1069 -0.8429 -4.9661
-4.2709 -1.0026 -2.4774
Cd Gd Dy Os
1 1 1 1
Cartesian
-4.5697 1.1684 -7.9638
0.0000 0.0000 0.0000
-3.0465 0.7790 -5.3092
-1.5232 0.3895 -2.6546



no.,theoretical density (g/cm³)
1,3.98
2,7.94
3,11.43